## Li2TlPAu (PBE)

Data for an optimized crystal structure of Li2TlPAu.

- Energy of formation from the pure elements: -1.3 eV/f.u.
- DFT total energy: -3.24 eV/atom
- D(E_F): 0.317 states/eV per atom

```
data_Li2TlPAu
_chemical_formula_sum 'Li2 Tl1 P1 Au1'
_cell_length_a 4.781
_cell_length_b 4.781
_cell_length_c 4.795
_cell_angle_alpha 90.00
_cell_angle_beta 90.00
_cell_angle_gamma 90.00
_space_group_name_H-M_alt 'P 4/m m m'
_space_group_IT_number 123
_space_group_name_Hall '-P 4 2'
loop_
_atom_site_label
_atom_site_type_symbol
_atom_site_fract_x
_atom_site_fract_y
_atom_site_fract_z
Li1 Li 0.000 0.500 0.000
Tl1 Tl 0.000 0.000 0.500
P1 P 0.500 0.500 0.000
Au1 Au 0.500 0.500 0.500
```

***

## PmYMnIn (PBE)

Data for an optimized crystal structure of PmYMnIn.

- Energy of formation from the pure elements: -0.4 eV/f.u.
- DFT total energy: -5.88 eV/atom
- D(E_F): 1.164 states/eV per atom

```
data_PmYMnIn
_chemical_formula_sum 'Pm4 Y4 Mn4 In4'
_cell_length_a 7.460
_cell_length_b 7.460
_cell_length_c 7.460
_cell_angle_alpha 90.00
_cell_angle_beta 90.00
_cell_angle_gamma 90.00
_space_group_name_H-M_alt 'F -4 3 m'
_space_group_IT_number 216
_space_group_name_Hall 'F -4 2 3'
loop_
_atom_site_label
_atom_site_type_symbol
_atom_site_fract_x
_atom_site_fract_y
_atom_site_fract_z
Pm1 Pm 0.000 0.000 0.000
Y1 Y 0.000 0.000 0.500
Mn1 Mn 0.250 0.250 0.250
In1 In 0.250 0.250 0.750
```

***

## CaTaAg2 (PBE)

Data for an optimized crystal structure of CaTaAg2.

- Energy of formation from the pure elements: 1.8 eV/f.u.
- DFT total energy: -4.44 eV/atom
- D(E_F): 1.198 states/eV per atom
- Distance to the lowest polymorph of the same formula: 191 meV per atom

```
data_CaTaAg2
_chemical_formula_sum 'Ca4 Ta4 Ag8'
_cell_length_a 6.933
_cell_length_b 6.933
_cell_length_c 6.933
_cell_angle_alpha 90.00
_cell_angle_beta 90.00
_cell_angle_gamma 90.00
_space_group_name_H-M_alt 'F m -3 m'
_space_group_IT_number 225
_space_group_name_Hall '-F 4 2 3'
loop_
_atom_site_label
_atom_site_type_symbol
_atom_site_fract_x
_atom_site_fract_y
_atom_site_fract_z
Ca1 Ca 0.000 0.000 0.000
Ta1 Ta 0.000 0.000 0.500
Ag1 Ag 0.250 0.250 0.250
```

***

## CaScF4 (PBE)

Data for an optimized crystal structure of CaScF4.

- DFT total energy: -6.19 eV/atom
- D(E_F): 0.299 states/eV per atom

```
data_CaScF4
_chemical_formula_sum 'Ca4 Sc4 F16'
_cell_length_a 7.118
_cell_length_b 7.118
_cell_length_c 7.267
_cell_angle_alpha 90.00
_cell_angle_beta 90.00
_cell_angle_gamma 90.00
_space_group_name_H-M_alt 'I 41 m d'
_space_group_IT_number 109
_space_group_name_Hall 'I 4bw -2'
loop_
_atom_site_label
_atom_site_type_symbol
_atom_site_fract_x
_atom_site_fract_y
_atom_site_fract_z
Ca1 Ca 0.000 0.000 0.000
Sc1 Sc 0.000 0.000 0.509
F1 F 0.000 0.301 0.503
F2 F 0.000 0.313 0.000
```

***

## LaPr2Y5 (PBE)

Data for an optimized crystal structure of LaPr2Y5.

- Energy of formation from the pure elements: 0.1 eV/f.u.
- DFT total energy: -5.84 eV/atom
- D(E_F): 1.305 states/eV per atom
- Distance to the lowest polymorph of the same formula: 0 meV per atom

```
data_LaPr2Y5
_chemical_formula_sum 'La4 Pr8 Y20'
_cell_length_a 7.240
_cell_length_b 20.428
_cell_length_c 7.281
_cell_angle_alpha 90.00
_cell_angle_beta 90.00
_cell_angle_gamma 90.00
_space_group_name_H-M_alt 'P b a m'
_space_group_IT_number 55
loop_
_space_group_symop_operation_xyz
'x,y,z'
'-x,-y,-z'
'-x,-y,z'
'x,y,-z'
'x+1/2,-y+1/2,-z'
'-x+1/2,y+1/2,z'
'-x+1/2,y+1/2,-z'
'x+1/2,-y+1/2,z'
loop_
_atom_site_label
_atom_site_type_symbol
_atom_site_fract_x
_atom_site_fract_y
_atom_site_fract_z
La1 La 0.246 0.126 0.000
Pr1 Pr 0.000 0.500 0.250
Pr2 Pr 0.246 0.126 0.500
Y1 Y 0.000 0.000 0.251
Y2 Y 0.004 0.750 0.251
Y3 Y 0.247 0.374 0.000
Y4 Y 0.248 0.374 0.500
```

***

## Ag3Ge5S12 (PBE)

Data for an optimized crystal structure of Ag3Ge5S12.

- DFT total energy: -4.10 eV/atom
- D(E_F): 0.661 states/eV per atom

```
data_Ag3Ge5S12
_chemical_formula_sum 'Ag24 Ge40 S96'
_cell_length_a 15.001
_cell_length_b 15.001
_cell_length_c 15.001
_cell_angle_alpha 90.00
_cell_angle_beta 90.00
_cell_angle_gamma 90.00
_space_group_name_H-M_alt 'I a -3 d'
_space_group_IT_number 230
_space_group_name_Hall '-I 4bd 2c 3'
loop_
_atom_site_label
_atom_site_type_symbol
_atom_site_fract_x
_atom_site_fract_y
_atom_site_fract_z
Ag1 Ag 0.000 0.250 0.125
Ge1 Ge 0.000 0.000 0.000
Ge2 Ge 0.000 0.250 0.375
S1 S 0.025 0.057 0.652
```

***

## CsLi2Co (PBE)

Data for an optimized crystal structure of CsLi2Co.

- Energy of formation from the pure elements: 3.4 eV/f.u.
- DFT total energy: -2.09 eV/atom
- D(E_F): 1.776 states/eV per atom

```
data_CsLi2Co
_chemical_formula_sum 'Cs4 Li8 Co4'
_cell_length_a 7.471
_cell_length_b 7.471
_cell_length_c 7.471
_cell_angle_alpha 90.00
_cell_angle_beta 90.00
_cell_angle_gamma 90.00
_space_group_name_H-M_alt 'F m -3 m'
_space_group_IT_number 225
_space_group_name_Hall '-F 4 2 3'
loop_
_atom_site_label
_atom_site_type_symbol
_atom_site_fract_x
_atom_site_fract_y
_atom_site_fract_z
Cs1 Cs 0.000 0.000 0.000
Li1 Li 0.250 0.250 0.250
Co1 Co 0.000 0.000 0.500
```

***

## Li2MgHgPd (PBE)

Data for an optimized crystal structure of Li2MgHgPd.

- Energy of formation from the pure elements: 2.6 eV/f.u.
- DFT total energy: -1.66 eV/atom
- D(E_F): 0.417 states/eV per atom

```
data_Li2MgHgPd
_chemical_formula_sum 'Li2 Mg1 Hg1 Pd1'
_cell_length_a 4.776
_cell_length_b 4.776
_cell_length_c 5.002
_cell_angle_alpha 90.00
_cell_angle_beta 90.00
_cell_angle_gamma 90.00
_space_group_name_H-M_alt 'P 4/m m m'
_space_group_IT_number 123
_space_group_name_Hall '-P 4 2'
loop_
_atom_site_label
_atom_site_type_symbol
_atom_site_fract_x
_atom_site_fract_y
_atom_site_fract_z
Li1 Li 0.000 0.500 0.000
Mg1 Mg 0.000 0.000 0.000
Hg1 Hg 0.000 0.000 0.500
Pd1 Pd 0.500 0.500 0.500
```

***

## CsBe2RuPt (PBE)

Data for an optimized crystal structure of CsBe2RuPt.

- Energy of formation from the pure elements: 6.8 eV/f.u.
- DFT total energy: -3.37 eV/atom
- D(E_F): 0.872 states/eV per atom

```
data_CsBe2RuPt
_chemical_formula_sum 'Cs1 Be2 Ru1 Pt1'
_cell_length_a 4.375
_cell_length_b 4.375
_cell_length_c 5.467
_cell_angle_alpha 90.00
_cell_angle_beta 90.00
_cell_angle_gamma 90.00
_space_group_name_H-M_alt 'P 4/m m m'
_space_group_IT_number 123
_space_group_name_Hall '-P 4 2'
loop_
_atom_site_label
_atom_site_type_symbol
_atom_site_fract_x
_atom_site_fract_y
_atom_site_fract_z
Cs1 Cs 0.000 0.000 0.000
Be1 Be 0.000 0.500 0.500
Ru1 Ru 0.000 0.000 0.500
Pt1 Pt 0.500 0.500 0.000
```

***

## KTl2Cl (PBE)

Data for an optimized crystal structure of KTl2Cl.

- DFT total energy: -2.35 eV/atom
- D(E_F): 1.033 states/eV per atom
- Distance to the lowest polymorph of the same formula: 279 meV per atom

```
data_KTl2Cl
_chemical_formula_sum 'K4 Tl8 Cl4'
_cell_length_a 8.057
_cell_length_b 8.057
_cell_length_c 8.057
_cell_angle_alpha 90.00
_cell_angle_beta 90.00
_cell_angle_gamma 90.00
_space_group_name_H-M_alt 'F -4 3 m'
_space_group_IT_number 216
_space_group_name_Hall 'F -4 2 3'
loop_
_atom_site_label
_atom_site_type_symbol
_atom_site_fract_x
_atom_site_fract_y
_atom_site_fract_z
K1 K 0.000 0.000 0.000
Tl1 Tl 0.000 0.000 0.500
Tl2 Tl 0.250 0.250 0.250
Cl1 Cl 0.250 0.250 0.750
```

***

## TlIn7Hg4 (PBE)

Data for an optimized crystal structure of TlIn7Hg4.

- Energy of formation from the pure elements: 0.4 eV/f.u.
- DFT total energy: -1.86 eV/atom
- D(E_F): 0.351 states/eV per atom

```
data_TlIn7Hg4
_chemical_formula_sum 'Tl1 In7 Hg4'
_cell_length_a 4.0492
_cell_length_b 4.0492
_cell_length_c 24.0181
_cell_angle_alpha 90.00
_cell_angle_beta 90.00
_cell_angle_gamma 120.00
_space_group_name_H-M_alt 'P -3 m 1'
_space_group_IT_number 164
_space_group_name_Hall '-P 3 2"'
loop_
_atom_site_label
_atom_site_type_symbol
_atom_site_fract_x
_atom_site_fract_y
_atom_site_fract_z
Tl1 Tl 0.0000 0.0000 0.0000
In1 In 0.0000 0.0000 0.2514
In2 In 0.0000 0.0000 0.5000
In3 In 0.3333 0.6667 0.6613
In4 In 0.3333 0.6667 0.9081
Hg1 Hg 0.3333 0.6667 0.1709
Hg2 Hg 0.3333 0.6667 0.4191
```

***

## TbTlAu2 (PBE)

Data for an optimized crystal structure of TbTlAu2.

- Energy of formation from the pure elements: -2.3 eV/f.u.
- DFT total energy: -3.95 eV/atom
- D(E_F): 0.419 states/eV per atom
- Distance to the lowest polymorph of the same formula: 0 meV per atom

```
data_TbTlAu2
_chemical_formula_sum 'Tb4 Tl4 Au8'
_cell_length_a 7.117
_cell_length_b 7.117
_cell_length_c 7.117
_cell_angle_alpha 90.00
_cell_angle_beta 90.00
_cell_angle_gamma 90.00
_space_group_name_H-M_alt 'F m -3 m'
_space_group_IT_number 225
_space_group_name_Hall '-F 4 2 3'
loop_
_atom_site_label
_atom_site_type_symbol
_atom_site_fract_x
_atom_site_fract_y
_atom_site_fract_z
Tb1 Tb 0.000 0.000 0.000
Tl1 Tl 0.000 0.000 0.500
Au1 Au 0.250 0.250 0.250
```

***

## ZrNbTlAs2 (PBE)

Data for an optimized crystal structure of ZrNbTlAs2.

- Energy of formation from the pure elements: 7.4 eV/f.u.
- DFT total energy: -4.58 eV/atom
- D(E_F): 1.332 states/eV per atom

```
data_ZrNbTlAs2
_chemical_formula_sum 'Zr1 Nb1 Tl1 As2'
_cell_length_a 5.141
_cell_length_b 5.141
_cell_length_c 5.206
_cell_angle_alpha 90.00
_cell_angle_beta 90.00
_cell_angle_gamma 90.00
_space_group_name_H-M_alt 'P 4/m m m'
_space_group_IT_number 123
_space_group_name_Hall '-P 4 2'
loop_
_atom_site_label
_atom_site_type_symbol
_atom_site_fract_x
_atom_site_fract_y
_atom_site_fract_z
Zr1 Zr 0.000 0.000 0.000
Nb1 Nb 0.500 0.500 0.000
Tl1 Tl 0.500 0.500 0.500
As1 As 0.000 0.500 0.500
```

***

## Nd6HOs2I3 (PBE)

Data for an optimized crystal structure of Nd6HOs2I3.

- DFT total energy: -5.54 eV/atom
- D(E_F): 0.238 states/eV per atom

```
data_Nd6HOs2I3
_chemical_formula_sum 'Nd12 H2 Os4 I6'
_cell_length_a 7.139
_cell_length_b 12.371
_cell_length_c 8.487
_cell_angle_alpha 90.00
_cell_angle_beta 106.31
_cell_angle_gamma 90.00
_space_group_name_H-M_alt 'C 1 2/m 1'
_space_group_IT_number 12
loop_
_space_group_symop_operation_xyz
'x,y,z'
'-x,-y,-z'
'-x,y,-z'
'x,-y,z'
'x+1/2,y+1/2,z'
'-x+1/2,-y+1/2,-z'
'-x+1/2,y+1/2,-z'
'x+1/2,-y+1/2,z'
loop_
_atom_site_label
_atom_site_type_symbol
_atom_site_fract_x
_atom_site_fract_y
_atom_site_fract_z
Nd1 Nd 0.223 0.000 0.185
Nd2 Nd 0.231 0.331 0.186
H1 H 0.000 0.500 0.000
Os1 Os 0.000 0.167 0.000
I1 I 0.000 0.000 0.500
I2 I 0.000 0.331 0.500
```

***

## Er5NiAg (PBE)

Data for an optimized crystal structure of Er5NiAg.

- Energy of formation from the pure elements: -0.5 eV/f.u.
- DFT total energy: -4.56 eV/atom
- D(E_F): 1.065 states/eV per atom

```
data_Er5NiAg
_chemical_formula_sum 'Er20 Ni4 Ag4'
_cell_length_a 11.154
_cell_length_b 6.641
_cell_length_c 10.979
_cell_angle_alpha 90.00
_cell_angle_beta 112.58
_cell_angle_gamma 90.00
_space_group_name_H-M_alt 'C 1 2/c 1'
_space_group_IT_number 15
loop_
_space_group_symop_operation_xyz
'x,y,z'
'-x,-y,-z'
'-x,y,-z+1/2'
'x,-y,z+1/2'
'x+1/2,y+1/2,z'
'-x+1/2,-y+1/2,-z'
'-x+1/2,y+1/2,-z+1/2'
'x+1/2,-y+1/2,z+1/2'
loop_
_atom_site_label
_atom_site_type_symbol
_atom_site_fract_x
_atom_site_fract_y
_atom_site_fract_z
Er1 Er 0.000 0.002 0.250
Er2 Er 0.122 0.335 0.034
Er3 Er 0.226 0.170 0.639
Ni1 Ni 0.000 0.000 0.000
Ag1 Ag 0.000 0.492 0.750
```

***

## LiHf2O (PBE)

Data for an optimized crystal structure of LiHf2O.

- DFT total energy: -7.77 eV/atom
- D(E_F): 0.532 states/eV per atom

```
data_LiHf2O
_chemical_formula_sum 'Li4 Hf8 O4'
_cell_length_a 8.157
_cell_length_b 8.157
_cell_length_c 3.639
_cell_angle_alpha 90.00
_cell_angle_beta 90.00
_cell_angle_gamma 90.00
_space_group_name_H-M_alt 'I -4 2 d'
_space_group_IT_number 122
_space_group_name_Hall 'I -4 2bw'
loop_
_atom_site_label
_atom_site_type_symbol
_atom_site_fract_x
_atom_site_fract_y
_atom_site_fract_z
Li1 Li 0.000 0.000 0.000
Hf1 Hf 0.099 0.750 0.625
O1 O 0.000 0.000 0.500
```

***

## HfNiSe2 (PBE)

Data for an optimized crystal structure of HfNiSe2.

- DFT total energy: -6.23 eV/atom
- D(E_F): 1.363 states/eV per atom
- Distance to the lowest polymorph of the same formula: 8 meV per atom

```
data_HfNiSe2
_chemical_formula_sum 'Hf3 Ni3 Se6'
_cell_length_a 3.6947
_cell_length_b 3.6947
_cell_length_c 23.2822
_cell_angle_alpha 90.00
_cell_angle_beta 90.00
_cell_angle_gamma 120.00
_space_group_name_H-M_alt 'R -3 m'
_space_group_IT_number 166
_space_group_name_Hall '-R 3 2"'
loop_
_atom_site_label
_atom_site_type_symbol
_atom_site_fract_x
_atom_site_fract_y
_atom_site_fract_z
Hf1 Hf 0.0000 0.0000 0.0000
Ni1 Ni 0.0000 0.0000 0.5000
Se1 Se 0.0000 0.0000 0.4030
```

***

## Pm4Sm11Er9 (PBE)

Data for an optimized crystal structure of Pm4Sm11Er9.

- Energy of formation from the pure elements: 1.5 eV/f.u.
- DFT total energy: -4.61 eV/atom
- D(E_F): 1.252 states/eV per atom

```
data_Pm4Sm11Er9
_chemical_formula_sum 'Pm8 Sm22 Er18'
_cell_length_a 16.834
_cell_length_b 25.386
_cell_length_c 3.693
_cell_angle_alpha 90.00
_cell_angle_beta 90.00
_cell_angle_gamma 90.00
_space_group_name_H-M_alt 'C m m m'
_space_group_IT_number 65
_space_group_name_Hall '-C 2 2'
loop_
_atom_site_label
_atom_site_type_symbol
_atom_site_fract_x
_atom_site_fract_y
_atom_site_fract_z
Pm1 Pm 0.155 0.101 0.000
Sm1 Sm 0.000 0.134 0.500
Sm2 Sm 0.000 0.341 0.500
Sm3 Sm 0.000 0.500 0.500
Sm4 Sm 0.210 0.000 0.500
Sm5 Sm 0.226 0.319 0.500
Er1 Er 0.000 0.000 0.000
Er2 Er 0.101 0.235 0.000
Er3 Er 0.139 0.427 0.000
```

***

## Li12Mg3Ga (PBE)

Data for an optimized crystal structure of Li12Mg3Ga.

- Energy of formation from the pure elements: -1.0 eV/f.u.
- DFT total energy: -1.99 eV/atom
- D(E_F): 0.418 states/eV per atom

```
data_Li12Mg3Ga
_chemical_formula_sum 'Li12 Mg3 Ga1'
_cell_length_a 4.228
_cell_length_b 4.228
_cell_length_c 17.154
_cell_angle_alpha 90.00
_cell_angle_beta 90.00
_cell_angle_gamma 90.00
_space_group_name_H-M_alt 'P 4/m m m'
_space_group_IT_number 123
_space_group_name_Hall '-P 4 2'
loop_
_atom_site_label
_atom_site_type_symbol
_atom_site_fract_x
_atom_site_fract_y
_atom_site_fract_z
Li1 Li 0.000 0.000 0.000
Li2 Li 0.000 0.000 0.240
Li3 Li 0.000 0.000 0.500
Li4 Li 0.000 0.500 0.109
Li5 Li 0.000 0.500 0.369
Mg1 Mg 0.500 0.500 0.237
Mg2 Mg 0.500 0.500 0.500
Ga1 Ga 0.500 0.500 0.000
```